LiCdRu4 PBE relaxed; space group = F-43m (216); ΔH_f (0 K) = 0.446 eV per atom; DFT total energy = -37.26 eV per formula unit; theoretical density = 8.9 Mg/m³
1.0
0.000 3.649 3.649
3.649 0.000 3.649
3.649 3.649 0.000
Ru Cd Li
4 1 1
Direct
0.375 0.876 0.375 Ru
0.375 0.375 0.876 Ru
0.876 0.375 0.375 Ru
0.375 0.375 0.375 Ru
0.750 0.750 0.750 Cd
0.000 0.000 0.000 Li

---

CdW2Se PBE relaxed; space group = R3m (160); energy relative to the elements, uncorrected = 0.31 eV/atom; DFT total energy = -29.05 eV per formula unit; theoretical density = 12.0 Mg/m³
1.0
-8.839 -0.626 -4.508
-7.787 -3.379 -5.175
-9.169 -2.889 -2.534
Cd W Se
1 2 1
Direct
0.509 0.509 0.509 Cd
0.002 0.002 0.002 W
0.259 0.259 0.259 W
0.730 0.730 0.730 Se

---

Rb2Na5In4 PBE relaxed; space group = C2/m (12); ΔH_f (0 K) = -0.019 eV per atom; DFT total energy = -19.70 eV per formula unit; theoretical density = 2.8 Mg/m³
1.0
6.931 0.000 0.000
3.466 8.239 -0.287
3.466 1.832 7.731
Na In Rb
5 4 2
Direct
0.291 0.751 0.158 Na
0.201 0.249 0.842 Na
0.799 0.751 0.158 Na
0.709 0.249 0.842 Na
0.000 0.500 0.500 Na
0.229 0.436 0.105 In
0.771 0.564 0.895 In
0.381 0.071 0.167 In
0.619 0.929 0.833 In
0.726 0.207 0.341 Rb
0.274 0.793 0.659 Rb

---

TcNiIr2W PBE relaxed; space group = P4/mmm (123); ΔH_f (0 K) = 1.506 eV per atom; DFT total energy = -39.29 eV per formula unit; theoretical density = 14.5 Mg/m³
1.0
4.425 0.000 0.000
0.000 4.232 0.000
0.000 0.000 4.425
Ni W Tc Ir
1 1 1 2
Direct
0.000 0.000 0.000 Ni
0.500 0.500 0.500 W
0.000 0.500 0.000 Tc
0.500 0.000 0.000 Ir
0.000 0.000 0.500 Ir

---

Sm4GeAs2Se PBE relaxed; space group = P2/m (10); energy relative to the elements, uncorrected = -1.47 eV/atom; DFT total energy = -48.05 eV per formula unit; theoretical density = 7.1 Mg/m³
1.0
4.198 0.000 0.000
0.000 7.305 -0.156
0.000 2.560 6.851
Sm As Se Ge
4 2 1 1
Direct
0.000 0.755 0.743 Sm
0.500 0.248 0.749 Sm
0.000 0.245 0.257 Sm
0.500 0.752 0.251 Sm
0.000 0.000 0.000 As
0.500 0.000 0.500 As
0.500 0.500 0.000 Se
0.000 0.500 0.500 Ge

---

ScTc2Hg PBE relaxed; space group = P4/mmm (123); ΔH_f (0 K) = 0.434 eV per atom; DFT total energy = -25.63 eV per formula unit; theoretical density = 10.4 Mg/m³
1.0
2.786 0.000 0.000
0.000 2.786 0.000
0.000 0.000 9.055
Tc Hg Sc
2 1 1
Direct
0.000 0.000 0.997 Tc
0.000 0.000 0.503 Tc
0.500 0.500 0.250 Hg
0.500 0.500 0.750 Sc